# 1
The following is a PBE-GGA calculation of a relaxed KY2Pt crystal, from the Alexandria database.

Lattice parameters (Å, degrees): 4.1989 4.1989 10.4793 78.43 78.43 60.05
Sites, in units of the cell vectors:
Y (0.9628, 0.9628, 0.1116)
Y (0.5372, 0.5372, 0.3884)
K (0.7500, 0.7500, 0.7500)
Pt (0.2500, 0.2500, 0.2500)

Spin magnetization: 0.000 μB per cell
Crystal system: trigonal
Energy above the lowest structure with this stoichiometry: 0 meV per atom
Formation energy from the elements: -0.488 eV/atom

=====

# 2
The following is a PBE-GGA calculation of a relaxed K2YPt crystal, from the Alexandria database.

Lattice parameters (Å, degrees): 4.3206 7.1833 4.3196 73.11 88.06 106.89
Sites, in units of the cell vectors:
K (0.5000, 0.0000, 0.5000)
K (0.0000, 0.0000, 0.0000)
Pt (0.0000, 0.5000, 0.5000)
Y (0.5000, 0.5000, 0.0000)

Spin magnetization: 0.000 μB per cell
Crystal system: orthorhombic
Energy above the lowest structure with this stoichiometry: 462 meV per atom
Formation energy from the elements: 0.142 eV/atom

=====

Repeat the second record exactly.
The following is a PBE-GGA calculation of a relaxed K2YPt crystal, from the Alexandria database.

Lattice parameters (Å, degrees): 4.3206 7.1833 4.3196 73.11 88.06 106.89
Sites, in units of the cell vectors:
K (0.5000, 0.0000, 0.5000)
K (0.0000, 0.0000, 0.0000)
Pt (0.0000, 0.5000, 0.5000)
Y (0.5000, 0.5000, 0.0000)

Spin magnetization: 0.000 μB per cell
Crystal system: orthorhombic
Energy above the lowest structure with this stoichiometry: 462 meV per atom
Formation energy from the elements: 0.142 eV/atom

=====

Q: formation energy from the elements of number 2 (K2YPt)?
A: 0.142 eV/atom